{
  "formula": "ScCdPd3",
  "functional": "PBE-GGA",
  "state": "relaxed",
  "lattice_angstrom": [[6.9571, 0.8116, -1.6904], [4.1146, 5.6683, -1.6904], [0.6027, 0.3527, 10.1510]],
  "species": ["Sc", "Sc", "Sc", "Sc", "Cd", "Cd", "Cd", "Cd", "Pd", "Pd", "Pd", "Pd", "Pd", "Pd", "Pd", "Pd", "Pd", "Pd", "Pd", "Pd"],
  "fractional_positions": [[0.0000, 0.5000, 0.5000], [0.5000, 0.0000, 0.0000], [0.7491, 0.2509, 0.2500], [0.2509, 0.7491, 0.7500], [0.8996, 0.3991, 0.8900], [0.6009, 0.1004, 0.6100], [0.1004, 0.6009, 0.1100], [0.3991, 0.8996, 0.3900], [0.8530, 0.8256, 0.8398], [0.1744, 0.1470, 0.6602], [0.1470, 0.1744, 0.1602], [0.8256, 0.8530, 0.3398], [0.6474, 0.6742, 0.6604], [0.3258, 0.3526, 0.8396], [0.3526, 0.3258, 0.3396], [0.6742, 0.6474, 0.1604], [0.2701, 0.7699, 0.9957], [0.2301, 0.7299, 0.5043], [0.7699, 0.2701, 0.4957], [0.7299, 0.2301, 0.0043]],
  "e_above_lowest_polymorph_ev_per_fu": 0.000,
  "dos_at_fermi_per_ev_cell": 8.26,
  "energy_ev_per_cell": -100.33,
  "ef_ev_per_fu": -2.26,
  "space_group": "C2/m, No. 12"
}

{
  "formula": "RbInSe",
  "functional": "PBE-GGA",
  "state": "relaxed",
  "lattice_angstrom": [[-4.3396, 2.3841, -1.3282], [-2.1713, -4.5276, -1.0327], [1.6944, 0.7775, 5.7524]],
  "species": ["Rb", "Se", "In"],
  "fractional_positions": [[0.9448, 0.9448, 0.8896], [0.3189, 0.3189, 0.6378], [0.5863, 0.5863, 0.1725]],
  "formation_energy_uncorrected_mev_per_atom": -470,
  "e_above_lowest_polymorph_ev_per_fu": 0.754,
  "energy_ev_per_cell": -8.60,
  "space_group": "I4mm, No. 107"
}

{
  "formula": "TiNbIn2",
  "functional": "PBE-GGA",
  "state": "relaxed",
  "lattice_angstrom": [[-0.4654, -3.6770, 1.8162], [3.4835, -1.3191, -1.7778], [0.9111, 3.9879, 3.6174]],
  "species": ["Ti", "Nb", "In", "In"],
  "fractional_positions": [[0.0000, 0.0000, 0.0000], [0.2500, 0.7500, 0.5000], [0.5000, 0.5000, 0.0000], [0.7500, 0.2500, 0.5000]],
  "e_above_lowest_polymorph_ev_per_fu": 0.235,
  "dos_at_fermi_per_ev_cell": 3.64,
  "energy_ev_per_cell": -23.48,
  "ef_ev_per_fu": -0.03,
  "space_group": "I-4m2, No. 119"
}

{
  "formula": "RbMnCrCl6",
  "functional": "PBE-GGA",
  "state": "relaxed",
  "lattice_angstrom": [[-5.1598, -0.1658, -3.8483], [-4.1257, -4.9305, 0.3573], [-3.9009, 3.6317, 5.0739]],
  "species": ["Rb", "Mn", "Cr", "Cl", "Cl", "Cl", "Cl", "Cl", "Cl"],
  "fractional_positions": [[0.0000, 0.0000, 0.0000], [0.6666, 0.6667, 0.5000], [0.3333, 0.3333, 0.5000], [0.0196, 0.3622, 0.3131], [0.3622, 0.0196, 0.6868], [0.6182, 0.3622, 0.6868], [0.0195, 0.6182, 0.6868], [0.3622, 0.6182, 0.3131], [0.6182, 0.0196, 0.3131]],
  "formation_energy_uncorrected_mev_per_atom": -1318,
  "energy_ev_per_cell": -42.70,
  "space_group": "P312, No. 149"
}